i:
## Ba2Cu2Rh (PBE)

Data for a geometry-optimized Ba2Cu2Rh structure.

Values from the calculation:
Total moment in μB per formula unit: 0.00
Symmetry: P4/mbm, No. 127

Unit cell a=7.293 b=7.293 c=4.724 alpha=90.00 beta=90.00 gamma=90.00
Fractional positions:
Ba  0.191  0.309  0.000
Ba  0.309  0.809  0.000
Ba  0.691  0.191  0.000
Ba  0.809  0.691  0.000
Cu  0.122  0.622  0.500
Cu  0.378  0.122  0.500
Cu  0.622  0.878  0.500
Cu  0.878  0.378  0.500
Rh  0.000  0.000  0.500
Rh  0.500  0.500  0.500

ii:
## Ba2Cu2Rh (PBE)

Data for a geometry-optimized Ba2Cu2Rh structure.

Values from the calculation:
Total moment in μB per formula unit: 0.00
Symmetry: C2/m, No. 12

Unit cell a=4.384 b=4.384 c=9.885 alpha=103.11 beta=103.11 gamma=60.02
Fractional positions:
Ba  0.076  0.076  0.231
Ba  0.924  0.924  0.769
Cu  0.181  0.181  0.542
Cu  0.819  0.819  0.458
Rh  0.500  0.500  0.500

Winner for stability: ii

i:
## Ba2CuRh (PBE)

Data for a geometry-optimized Ba2CuRh structure.

Values from the calculation:
Total moment in μB per formula unit: 0.00
Symmetry: I-42d, No. 122

Unit cell a=6.934 b=6.934 c=6.934 alpha=105.74 beta=105.74 gamma=117.23
Fractional positions:
Ba  0.099  0.625  0.974
Ba  0.375  0.349  0.474
Ba  0.651  0.125  0.026
Ba  0.875  0.901  0.526
Cu  0.250  0.750  0.500
Cu  0.500  0.500  0.000
Rh  0.000  0.000  0.000
Rh  0.750  0.250  0.500

ii:
## Ba2CuRh (PBE)

Data for a geometry-optimized Ba2CuRh structure.

Values from the calculation:
Total moment in μB per formula unit: 0.00
Symmetry: Pmmm, No. 47

Unit cell a=4.554 b=4.571 c=6.332 alpha=90.00 beta=90.00 gamma=90.00
Fractional positions:
Ba  0.000  0.000  0.000
Ba  0.500  0.500  0.500
Cu  0.000  0.000  0.500
Rh  0.500  0.500  0.000

iii:
## Ba2CuRh (PBE)

Data for a geometry-optimized Ba2CuRh structure.

Values from the calculation:
Total moment in μB per formula unit: 0.00
Symmetry: I-4m2, No. 119

Unit cell a=6.212 b=6.212 c=6.212 alpha=136.45 beta=136.45 gamma=63.29
Fractional positions:
Ba  0.000  0.000  0.000
Ba  0.750  0.250  0.500
Cu  0.250  0.750  0.500
Rh  0.500  0.500  0.000

Winner for stability: ii

i:
## Ba2CuRh (PBE)

Data for a geometry-optimized Ba2CuRh structure.

Values from the calculation:
Total moment in μB per formula unit: 0.00
Symmetry: F-43m, No. 216

Unit cell a=5.288 b=5.288 c=5.288 alpha=60.00 beta=60.00 gamma=60.00
Fractional positions:
Ba  0.000  0.000  0.000
Ba  0.250  0.250  0.250
Cu  0.500  0.500  0.500
Rh  0.750  0.750  0.750

ii:
## Ba2CuRh (PBE)

Data for a geometry-optimized Ba2CuRh structure.

Values from the calculation:
Total moment in μB per formula unit: 0.00
Symmetry: P4/mmm, No. 123

Unit cell a=5.520 b=5.520 c=3.810 alpha=90.00 beta=90.00 gamma=90.00
Fractional positions:
Ba  0.000  0.500  0.000
Ba  0.500  0.000  0.000
Cu  0.000  0.000  0.500
Rh  0.500  0.500  0.500

Winner for stability: ii

i:
## Ba4CuRh (PBE)

Data for a geometry-optimized Ba4CuRh structure.

Values from the calculation:
Total moment in μB per formula unit: 0.00
Symmetry: F-43m, No. 216

Unit cell a=6.868 b=6.868 c=6.868 alpha=60.00 beta=60.00 gamma=60.00
Fractional positions:
Ba  0.125  0.125  0.125
Ba  0.125  0.125  0.624
Ba  0.125  0.624  0.125
Ba  0.624  0.125  0.125
Cu  0.750  0.750  0.750
Rh  0.500  0.500  0.500

ii:
## Ba4CuRh (PBE)

Data for a geometry-optimized Ba4CuRh structure.

Values from the calculation:
Total moment in μB per formula unit: 0.00
Symmetry: P2/m, No. 10

Unit cell a=7.823 b=4.627 c=8.030 alpha=90.00 beta=109.51 gamma=90.00
Fractional positions:
Ba  0.231  0.000  0.258
Ba  0.232  0.500  0.730
Ba  0.768  0.500  0.270
Ba  0.769  0.000  0.742
Cu  0.000  0.500  0.000
Rh  0.000  0.000  0.500

Winner for stability: ii

i:
## BaCuRh3 (PBE)

Data for a geometry-optimized BaCuRh3 structure.

Values from the calculation:
Total moment in μB per formula unit: 1.50
Symmetry: Pm-3m, No. 221

Unit cell a=4.718 b=4.718 c=4.718 alpha=90.00 beta=90.00 gamma=90.00
Fractional positions:
Ba  0.000  0.000  0.000
Cu  0.500  0.500  0.500
Rh  0.000  0.500  0.500
Rh  0.500  0.000  0.500
Rh  0.500  0.500  0.000

ii:
## BaCuRh3 (PBE)

Data for a geometry-optimized BaCuRh3 structure.

Values from the calculation:
Total moment in μB per formula unit: 0.86
Symmetry: Pm-3m, No. 221

Unit cell a=5.060 b=5.060 c=5.060 alpha=90.00 beta=90.00 gamma=90.00
Fractional positions:
Ba  0.000  0.000  0.000
Cu  0.500  0.500  0.500
Rh  0.000  0.000  0.500
Rh  0.000  0.500  0.000
Rh  0.500  0.000  0.000

Winner for stability: i

i:
## Ba2CuRh2 (PBE)

Data for a geometry-optimized Ba2CuRh2 structure.

Values from the calculation:
Total moment in μB per formula unit: 0.20
Symmetry: Immm, No. 71

Unit cell a=6.124 b=6.124 c=6.124 alpha=136.74 beta=126.08 gamma=71.50
Fractional positions:
Ba  0.192  0.192  0.000
Ba  0.808  0.808  0.000
Cu  0.500  0.000  0.500
Rh  0.252  0.500  0.752
Rh  0.748  0.500  0.248

ii:
## Ba2CuRh2 (PBE)

Data for a geometry-optimized Ba2CuRh2 structure.

Values from the calculation:
Total moment in μB per formula unit: 0.00
Symmetry: P4/mbm, No. 127

Unit cell a=7.214 b=7.214 c=4.763 alpha=90.00 beta=90.00 gamma=90.00
Fractional positions:
Ba  0.180  0.320  0.000
Ba  0.320  0.820  0.000
Ba  0.680  0.180  0.000
Ba  0.820  0.680  0.000
Cu  0.000  0.000  0.500
Cu  0.500  0.500  0.500
Rh  0.133  0.633  0.500
Rh  0.367  0.133  0.500
Rh  0.633  0.867  0.500
Rh  0.867  0.367  0.500

Winner for stability: i

i:
## Ba3CuRh (PBE)

Data for a geometry-optimized Ba3CuRh structure.

Values from the calculation:
Total moment in μB per formula unit: 0.00
Symmetry: P2_1/m, No. 11

Unit cell a=7.564 b=4.402 c=11.565 alpha=90.00 beta=101.50 gamma=90.00
Fractional positions:
Ba  0.223  0.250  0.071
Ba  0.230  0.750  0.757
Ba  0.253  0.250  0.430
Ba  0.747  0.750  0.570
Ba  0.770  0.250  0.243
Ba  0.777  0.750  0.929
Cu  0.430  0.750  0.280
Cu  0.570  0.250  0.720
Rh  0.086  0.750  0.223
Rh  0.914  0.250  0.777

ii:
## Ba3CuRh (PBE)

Data for a geometry-optimized Ba3CuRh structure.

Values from the calculation:
Total moment in μB per formula unit: 0.00
Symmetry: Pm-3m, No. 221

Unit cell a=5.985 b=5.985 c=5.985 alpha=90.00 beta=90.00 gamma=90.00
Fractional positions:
Ba  0.000  0.000  0.500
Ba  0.000  0.500  0.000
Ba  0.500  0.000  0.000
Cu  0.500  0.500  0.500
Rh  0.000  0.000  0.000

Winner for stability: i

i:
## Ba2TlCuRh (PBE)

Data for a geometry-optimized Ba2TlCuRh structure.

Values from the calculation:
Total moment in μB per formula unit: 0.00
Symmetry: P4/mmm, No. 123

Unit cell a=5.977 b=5.977 c=5.255 alpha=90.00 beta=90.00 gamma=90.00
Fractional positions:
Ba  0.000  0.500  0.000
Ba  0.500  0.000  0.000
Tl  0.000  0.000  0.500
Cu  0.500  0.500  0.500
Rh  0.000  0.000  0.000

ii:
## Ba2TlCuRh (PBE)

Data for a geometry-optimized Ba2TlCuRh structure.

Values from the calculation:
Total moment in μB per formula unit: 0.00
Symmetry: P4/mmm, No. 123

Unit cell a=5.952 b=5.952 c=4.871 alpha=90.00 beta=90.00 gamma=90.00
Fractional positions:
Ba  0.000  0.500  0.000
Ba  0.500  0.000  0.000
Tl  0.000  0.000  0.500
Cu  0.500  0.500  0.500
Rh  0.500  0.500  0.000

Winner for stability: i